Be2VZn2O6 | Alexandria via LeMat-Bulk | GGA+U | relaxed; space-group type = P-3 (147); magnetic moment = 1.000 μB/f.u.; D(E_F) = 5.079 states/eV/f.u.; raw total energy = -67.0 eV per cell
1.0
5.027 0.000 0.000
-2.514 4.354 0.000
0.000 0.000 6.108
Be V Zn O
2 1 2 6
Direct
0.333 0.667 0.295
0.667 0.333 0.705
0.000 0.000 0.500
0.333 0.667 0.728
0.667 0.333 0.272
0.049 0.708 0.308
0.292 0.341 0.308
0.341 0.049 0.692
0.659 0.951 0.308
0.708 0.659 0.692
0.951 0.292 0.692